Li3Hg2Au2: optimized geometry, GGA-PBE.

Cell and atoms, written as POSCAR:
```
Li3Hg2Au2
1.0
4.552 0.069 -1.175
-2.392 3.943 -0.006
-0.317 -0.200 7.039
Li Hg Au
3 2 2
direct
0.000 0.000 0.000
0.457 0.731 0.202
0.543 0.269 0.798
0.185 0.590 0.772
0.815 0.410 0.228
0.739 0.868 0.601
0.261 0.132 0.399
```

Results
* SG: P-1, No. 2
* energy: -2.196 eV per atom
* ΔE_f: -353 meV/atom